The following is a DFT calculation (PBE) of a relaxed LiTaSiO5 crystal.

Lattice parameters (Å, degrees): 7.425 7.889 7.452 90.00 119.20 90.00
Fractional positions:
1 Li 0.249 0.066 0.192
2 Li 0.249 0.434 0.692
3 Li 0.751 0.566 0.308
4 Li 0.751 0.934 0.808
5 Ta 0.252 0.739 0.994
6 Ta 0.252 0.761 0.494
7 Ta 0.748 0.239 0.506
8 Ta 0.748 0.261 0.006
9 Si 0.251 0.111 0.759
10 Si 0.251 0.389 0.259
11 Si 0.749 0.611 0.741
12 Si 0.749 0.889 0.241
13 O 0.056 0.241 0.646
14 O 0.056 0.259 0.146
15 O 0.242 0.507 0.434
16 O 0.242 0.993 0.934
17 O 0.248 0.672 0.746
18 O 0.248 0.828 0.246
19 O 0.265 0.509 0.088
20 O 0.265 0.991 0.588
21 O 0.442 0.246 0.856
22 O 0.442 0.254 0.356
23 O 0.558 0.746 0.644
24 O 0.558 0.754 0.144
25 O 0.735 0.009 0.412
26 O 0.735 0.491 0.912
27 O 0.752 0.172 0.754
28 O 0.752 0.328 0.254
29 O 0.758 0.007 0.066
30 O 0.758 0.493 0.566
31 O 0.944 0.741 0.854
32 O 0.944 0.759 0.354

## Properties
As for the total energy: -0.60636 Ry/atom.